Entry 1:
# MgNi2PdO4 (PBE with a Hubbard U, optimized geometry)
data_MgNi2PdO4
_chemical_formula_sum 'Mg1 Ni2 Pd1 O4'
_cell_length_a 5.293
_cell_length_b 3.052
_cell_length_c 5.308
_cell_angle_alpha 90.00
_cell_angle_beta 109.40
_cell_angle_gamma 90.00
_space_group_name_H-M_alt 'P 1 2/m 1'
_space_group_IT_number 10
_space_group_name_Hall '-P 2y'
loop_
_atom_site_label
_atom_site_type_symbol
_atom_site_fract_x
_atom_site_fract_y
_atom_site_fract_z
_atom_site_occupancy
Mg1 Mg 0.000 0.000 0.000 1
Ni1 Ni 0.000 0.500 0.500 1
Ni2 Ni 0.500 0.000 0.500 1
Pd1 Pd 0.500 0.500 0.000 1
O1 O 0.230 0.000 0.728 1
O2 O 0.239 0.500 0.259 1
# - Total magnetization: 0.251 μB/atom

Entry 2:
# Pm2MgNiO6 (PBE with a Hubbard U, optimized geometry)
data_Pm2MgNiO6
_chemical_formula_sum 'Pm4 Mg2 Ni2 O12'
_cell_length_a 5.398
_cell_length_b 5.501
_cell_length_c 9.349
_cell_angle_alpha 90.00
_cell_angle_beta 124.94
_cell_angle_gamma 90.00
_space_group_name_H-M_alt 'P 1 21/c 1'
_space_group_IT_number 14
_space_group_name_Hall '-P 2ybc'
loop_
_atom_site_label
_atom_site_type_symbol
_atom_site_fract_x
_atom_site_fract_y
_atom_site_fract_z
_atom_site_occupancy
Pm1 Pm 0.238 0.050 0.250 1
Mg1 Mg 0.500 0.000 0.000 1
Ni1 Ni 0.000 0.000 0.500 1
O1 O 0.153 0.221 0.955 1
O2 O 0.236 0.701 0.957 1
O3 O 0.321 0.020 0.739 1
# - Total magnetization: 0.000 μB/atom

no.,calculated total energy (eV per atom)
1,-5.129
2,-6.767